Entry 1:
DFT (PBE) results for a geometry-optimized PrYMgAg structure.

Geometry as CIF:
```
data_PrYMgAg
_cell_length_a 3.798
_cell_length_b 3.798
_cell_length_c 7.474
_cell_angle_alpha 90.00
_cell_angle_beta 90.00
_cell_angle_gamma 90.00
_space_group_name_H-M_alt 'P 1'
_space_group_IT_number 1
loop_
_space_group_symop_operation_xyz
'x,y,z'
loop_
_atom_site_label
_atom_site_type_symbol
_atom_site_fract_x
_atom_site_fract_y
_atom_site_fract_z
Pr1 Pr 0.000 0.000 0.000
Y1 Y 0.000 0.000 0.484
Mg1 Mg 0.500 0.500 0.731
Ag1 Ag 0.500 0.500 0.264
```

Results
**Energy**: -4.112 eV/atom
**ΔH_f (0 K)**: -18.3 kJ per mole of atoms
**Space-group type**: P4mm
**ΔE to the lowest computed polymorph**: 0 meV/atom
**N(E_F)**: 3.71 states/eV/f.u.

Entry 2:
DFT (PBE) results for a geometry-optimized PrYMgAg structure.

Geometry as CIF:
```
data_PrYMgAg
_cell_length_a 7.574
_cell_length_b 7.574
_cell_length_c 7.574
_cell_angle_alpha 90.00
_cell_angle_beta 90.00
_cell_angle_gamma 90.00
_space_group_name_H-M_alt 'P 1'
_space_group_IT_number 1
loop_
_space_group_symop_operation_xyz
'x,y,z'
loop_
_atom_site_label
_atom_site_type_symbol
_atom_site_fract_x
_atom_site_fract_y
_atom_site_fract_z
Pr1 Pr 0.000 0.000 0.000
Pr2 Pr 0.000 0.500 0.500
Pr3 Pr 0.500 0.000 0.500
Pr4 Pr 0.500 0.500 0.000
Y1 Y 0.000 0.000 0.500
Y2 Y 0.000 0.500 0.000
Y3 Y 0.500 0.000 0.000
Y4 Y 0.500 0.500 0.500
Mg1 Mg 0.250 0.250 0.250
Mg2 Mg 0.250 0.750 0.750
Mg3 Mg 0.750 0.250 0.750
Mg4 Mg 0.750 0.750 0.250
Ag1 Ag 0.250 0.250 0.750
Ag2 Ag 0.250 0.750 0.250
Ag3 Ag 0.750 0.250 0.250
Ag4 Ag 0.750 0.750 0.750
```

Results
**Energy**: -4.067 eV/atom
**ΔH_f (0 K)**: -14.0 kJ per mole of atoms
**Space-group type**: F-43m
**ΔE to the lowest computed polymorph**: 45 meV/atom
**N(E_F)**: 4.84 states/eV/f.u.

Entry 3:
DFT (PBE) results for a geometry-optimized PrMg2ZnAg2 structure.

Geometry as CIF:
```
data_PrMg2ZnAg2
_cell_length_a 5.206
_cell_length_b 5.206
_cell_length_c 11.277
_cell_angle_alpha 90.00
_cell_angle_beta 90.00
_cell_angle_gamma 90.00
_space_group_name_H-M_alt 'P 1'
_space_group_IT_number 1
loop_
_space_group_symop_operation_xyz
'x,y,z'
loop_
_atom_site_label
_atom_site_type_symbol
_atom_site_fract_x
_atom_site_fract_y
_atom_site_fract_z
Pr1 Pr 0.000 0.000 0.000
Pr2 Pr 0.500 0.500 0.500
Mg1 Mg 0.000 0.500 0.250
Mg2 Mg 0.000 0.500 0.750
Mg3 Mg 0.500 0.000 0.250
Mg4 Mg 0.500 0.000 0.750
Zn1 Zn 0.000 0.000 0.500
Zn2 Zn 0.500 0.500 0.000
Ag1 Ag 0.000 0.000 0.280
Ag2 Ag 0.000 0.000 0.720
Ag3 Ag 0.500 0.500 0.220
Ag4 Ag 0.500 0.500 0.780
```

Results
**Energy**: -2.427 eV/atom
**ΔH_f (0 K)**: 6.2 kJ per mole of atoms
**Space-group type**: I4/mmm
**N(E_F)**: 5.05 states/eV/f.u.

Entry 4:
DFT (PBE) results for a geometry-optimized Pr2MgZn3Ag4 structure.

Geometry as CIF:
```
data_Pr2MgZn3Ag4
_cell_length_a 4.217
_cell_length_b 4.217
_cell_length_c 12.132
_cell_angle_alpha 90.00
_cell_angle_beta 90.00
_cell_angle_gamma 90.00
_space_group_name_H-M_alt 'P 1'
_space_group_IT_number 1
loop_
_space_group_symop_operation_xyz
'x,y,z'
loop_
_atom_site_label
_atom_site_type_symbol
_atom_site_fract_x
_atom_site_fract_y
_atom_site_fract_z
Pr1 Pr 0.000 0.500 0.238
Pr2 Pr 0.500 0.000 0.762
Mg1 Mg 0.000 0.000 0.500
Zn1 Zn 0.000 0.500 0.863
Zn2 Zn 0.500 0.000 0.137
Zn3 Zn 0.500 0.500 0.500
Ag1 Ag 0.000 0.000 0.000
Ag2 Ag 0.000 0.500 0.646
Ag3 Ag 0.500 0.000 0.354
Ag4 Ag 0.500 0.500 0.000
```

Results
**Energy**: -2.868 eV/atom
**ΔH_f (0 K)**: -22.1 kJ per mole of atoms
**Space-group type**: P-4m2
**N(E_F)**: 7.30 states/eV/f.u.

Entry 5:
DFT (PBE) results for a geometry-optimized PrMg2Zn2Ag2 structure.

Geometry as CIF:
```
data_PrMg2Zn2Ag2
_cell_length_a 8.409
_cell_length_b 8.409
_cell_length_c 8.409
_cell_angle_alpha 31.67
_cell_angle_beta 31.67
_cell_angle_gamma 31.67
_space_group_name_H-M_alt 'P 1'
_space_group_IT_number 1
loop_
_space_group_symop_operation_xyz
'x,y,z'
loop_
_atom_site_label
_atom_site_type_symbol
_atom_site_fract_x
_atom_site_fract_y
_atom_site_fract_z
Pr1 Pr 0.000 0.000 0.000
Mg1 Mg 0.138 0.138 0.138
Mg2 Mg 0.862 0.862 0.862
Zn1 Zn 0.260 0.260 0.260
Zn2 Zn 0.740 0.740 0.740
Ag1 Ag 0.431 0.431 0.431
Ag2 Ag 0.569 0.569 0.569
```

Results
**Energy**: -2.519 eV/atom
**ΔH_f (0 K)**: -19.5 kJ per mole of atoms
**Space-group type**: R-3m
**N(E_F)**: 3.78 states/eV/f.u.

Entry 6:
DFT (PBE) results for a geometry-optimized PrMg2Zn2Ag structure.

Geometry as CIF:
```
data_PrMg2Zn2Ag
_cell_length_a 5.141
_cell_length_b 5.141
_cell_length_c 11.144
_cell_angle_alpha 90.00
_cell_angle_beta 90.00
_cell_angle_gamma 90.00
_space_group_name_H-M_alt 'P 1'
_space_group_IT_number 1
loop_
_space_group_symop_operation_xyz
'x,y,z'
loop_
_atom_site_label
_atom_site_type_symbol
_atom_site_fract_x
_atom_site_fract_y
_atom_site_fract_z
Pr1 Pr 0.000 0.000 0.000
Pr2 Pr 0.500 0.500 0.500
Mg1 Mg 0.000 0.500 0.250
Mg2 Mg 0.000 0.500 0.750
Mg3 Mg 0.500 0.000 0.250
Mg4 Mg 0.500 0.000 0.750
Zn1 Zn 0.000 0.000 0.275
Zn2 Zn 0.000 0.000 0.725
Zn3 Zn 0.500 0.500 0.225
Zn4 Zn 0.500 0.500 0.775
Ag1 Ag 0.000 0.000 0.500
Ag2 Ag 0.500 0.500 0.000
```

Results
**Energy**: -2.138 eV/atom
**ΔH_f (0 K)**: 8.7 kJ per mole of atoms
**Space-group type**: I4/mmm
**N(E_F)**: 3.81 states/eV/f.u.

Entry 7:
DFT (PBE) results for a geometry-optimized Mg2AgPt structure.

Geometry as CIF:
```
data_Mg2AgPt
_cell_length_a 9.993
_cell_length_b 3.000
_cell_length_c 4.776
_cell_angle_alpha 90.00
_cell_angle_beta 103.74
_cell_angle_gamma 90.00
_space_group_name_H-M_alt 'P 1'
_space_group_IT_number 1
loop_
_space_group_symop_operation_xyz
'x,y,z'
loop_
_atom_site_label
_atom_site_type_symbol
_atom_site_fract_x
_atom_site_fract_y
_atom_site_fract_z
Mg1 Mg 0.000 0.000 0.000
Mg2 Mg 0.222 0.000 0.637
Mg3 Mg 0.500 0.500 0.000
Mg4 Mg 0.722 0.500 0.637
Ag1 Ag 0.250 0.500 0.160
Ag2 Ag 0.750 0.000 0.160
Pt1 Pt 0.487 0.000 0.502
Pt2 Pt 0.987 0.500 0.502
```

Results
**Energy**: -3.508 eV/atom
**ΔH_f (0 K)**: -47.1 kJ per mole of atoms
**Space-group type**: Cm
**ΔE to the lowest computed polymorph**: 91 meV/atom
**N(E_F)**: 0.81 states/eV/f.u.

Entry 8:
DFT (PBE) results for a geometry-optimized MgAg2Pt structure.

Geometry as CIF:
```
data_MgAg2Pt
_cell_length_a 9.806
_cell_length_b 3.001
_cell_length_c 4.761
_cell_angle_alpha 90.00
_cell_angle_beta 102.47
_cell_angle_gamma 90.00
_space_group_name_H-M_alt 'P 1'
_space_group_IT_number 1
loop_
_space_group_symop_operation_xyz
'x,y,z'
loop_
_atom_site_label
_atom_site_type_symbol
_atom_site_fract_x
_atom_site_fract_y
_atom_site_fract_z
Mg1 Mg 0.000 0.000 0.000
Mg2 Mg 0.500 0.500 0.000
Ag1 Ag 0.246 0.000 0.747
Ag2 Ag 0.254 0.500 0.253
Ag3 Ag 0.746 0.500 0.747
Ag4 Ag 0.754 0.000 0.253
Pt1 Pt 0.000 0.500 0.500
Pt2 Pt 0.500 0.000 0.500
```

Results
**Energy**: -3.622 eV/atom
**ΔH_f (0 K)**: -27.7 kJ per mole of atoms
**Space-group type**: C2/m
**N(E_F)**: 0.86 states/eV/f.u.

Entry 9:
DFT (PBE) results for a geometry-optimized MgAg2Pt structure.

Geometry as CIF:
```
data_MgAg2Pt
_cell_length_a 3.277
_cell_length_b 3.277
_cell_length_c 6.414
_cell_angle_alpha 90.00
_cell_angle_beta 90.00
_cell_angle_gamma 90.00
_space_group_name_H-M_alt 'P 1'
_space_group_IT_number 1
loop_
_space_group_symop_operation_xyz
'x,y,z'
loop_
_atom_site_label
_atom_site_type_symbol
_atom_site_fract_x
_atom_site_fract_y
_atom_site_fract_z
Mg1 Mg 0.000 0.000 0.000
Ag1 Ag 0.000 0.000 0.475
Ag2 Ag 0.500 0.500 0.733
Pt1 Pt 0.500 0.500 0.211
```

Results
**Energy**: -3.601 eV/atom
**ΔH_f (0 K)**: -25.7 kJ per mole of atoms
**Space-group type**: P4mm
**N(E_F)**: 1.42 states/eV/f.u.

Entry 10:
DFT (PBE) results for a geometry-optimized MgAg2Pt structure.

Geometry as CIF:
```
data_MgAg2Pt
_cell_length_a 2.904
_cell_length_b 2.904
_cell_length_c 28.287
_cell_angle_alpha 90.00
_cell_angle_beta 90.00
_cell_angle_gamma 120.00
_space_group_name_H-M_alt 'P 1'
_space_group_IT_number 1
loop_
_space_group_symop_operation_xyz
'x,y,z'
loop_
_atom_site_label
_atom_site_type_symbol
_atom_site_fract_x
_atom_site_fract_y
_atom_site_fract_z
Mg1 Mg 0.000 0.000 0.000
Mg2 Mg 0.333 0.667 0.667
Mg3 Mg 0.667 0.333 0.333
Ag1 Ag 0.000 0.000 0.250
Ag2 Ag 0.000 0.000 0.750
Ag3 Ag 0.333 0.667 0.416
Ag4 Ag 0.333 0.667 0.917
Ag5 Ag 0.667 0.333 0.083
Ag6 Ag 0.667 0.333 0.584
Pt1 Pt 0.000 0.000 0.500
Pt2 Pt 0.333 0.667 0.167
Pt3 Pt 0.667 0.333 0.833
```

Results
**Energy**: -3.421 eV/atom
**ΔH_f (0 K)**: -8.3 kJ per mole of atoms
**Space-group type**: R-3m
**N(E_F)**: 0.74 states/eV/f.u.

Entry 11:
DFT (PBE) results for a geometry-optimized MgAg2Pt5 structure.

Geometry as CIF:
```
data_MgAg2Pt5
_cell_length_a 4.001
_cell_length_b 4.001
_cell_length_c 16.067
_cell_angle_alpha 90.00
_cell_angle_beta 90.00
_cell_angle_gamma 90.00
_space_group_name_H-M_alt 'P 1'
_space_group_IT_number 1
loop_
_space_group_symop_operation_xyz
'x,y,z'
loop_
_atom_site_label
_atom_site_type_symbol
_atom_site_fract_x
_atom_site_fract_y
_atom_site_fract_z
Mg1 Mg 0.000 0.000 0.000
Mg2 Mg 0.500 0.500 0.500
Ag1 Ag 0.000 0.000 0.250
Ag2 Ag 0.000 0.000 0.750
Ag3 Ag 0.500 0.500 0.250
Ag4 Ag 0.500 0.500 0.750
Pt1 Pt 0.000 0.000 0.500
Pt2 Pt 0.000 0.500 0.119
Pt3 Pt 0.000 0.500 0.381
Pt4 Pt 0.000 0.500 0.619
Pt5 Pt 0.000 0.500 0.881
Pt6 Pt 0.500 0.000 0.119
Pt7 Pt 0.500 0.000 0.381
Pt8 Pt 0.500 0.000 0.619
Pt9 Pt 0.500 0.000 0.881
Pt10 Pt 0.500 0.500 0.000
```

Results
**Energy**: -4.961 eV/atom
**ΔH_f (0 K)**: -26.4 kJ per mole of atoms
**Space-group type**: I4/mmm
**N(E_F)**: 7.60 states/eV/f.u.

Entry 12:
DFT (PBE) results for a geometry-optimized Mg3AgPt structure.

Geometry as CIF:
```
data_Mg3AgPt
_cell_length_a 8.749
_cell_length_b 8.749
_cell_length_c 5.723
_cell_angle_alpha 90.35
_cell_angle_beta 90.35
_cell_angle_gamma 66.65
_space_group_name_H-M_alt 'P 1'
_space_group_IT_number 1
loop_
_space_group_symop_operation_xyz
'x,y,z'
loop_
_atom_site_label
_atom_site_type_symbol
_atom_site_fract_x
_atom_site_fract_y
_atom_site_fract_z
Mg1 Mg 0.051 0.136 0.380
Mg2 Mg 0.062 0.510 0.769
Mg3 Mg 0.136 0.051 0.880
Mg4 Mg 0.336 0.462 0.360
Mg5 Mg 0.462 0.336 0.860
Mg6 Mg 0.490 0.938 0.731
Mg7 Mg 0.510 0.062 0.269
Mg8 Mg 0.538 0.664 0.140
Mg9 Mg 0.664 0.538 0.640
Mg10 Mg 0.864 0.949 0.120
Mg11 Mg 0.938 0.490 0.231
Mg12 Mg 0.949 0.864 0.620
Ag1 Ag 0.200 0.800 0.250
Ag2 Ag 0.302 0.698 0.750
Ag3 Ag 0.698 0.302 0.250
Ag4 Ag 0.800 0.200 0.750
Pt1 Pt 0.230 0.265 0.088
Pt2 Pt 0.265 0.230 0.588
Pt3 Pt 0.735 0.770 0.412
Pt4 Pt 0.770 0.735 0.912
```

Results
**Energy**: -3.112 eV/atom
**ΔH_f (0 K)**: -36.4 kJ per mole of atoms
**Space-group type**: C2/c
**ΔE to the lowest computed polymorph**: 101 meV/atom
**N(E_F)**: 1.84 states/eV/f.u.

Please write out number 4 again, unchanged.
DFT (PBE) results for a geometry-optimized Pr2MgZn3Ag4 structure.

Geometry as CIF:
```
data_Pr2MgZn3Ag4
_cell_length_a 4.217
_cell_length_b 4.217
_cell_length_c 12.132
_cell_angle_alpha 90.00
_cell_angle_beta 90.00
_cell_angle_gamma 90.00
_space_group_name_H-M_alt 'P 1'
_space_group_IT_number 1
loop_
_space_group_symop_operation_xyz
'x,y,z'
loop_
_atom_site_label
_atom_site_type_symbol
_atom_site_fract_x
_atom_site_fract_y
_atom_site_fract_z
Pr1 Pr 0.000 0.500 0.238
Pr2 Pr 0.500 0.000 0.762
Mg1 Mg 0.000 0.000 0.500
Zn1 Zn 0.000 0.500 0.863
Zn2 Zn 0.500 0.000 0.137
Zn3 Zn 0.500 0.500 0.500
Ag1 Ag 0.000 0.000 0.000
Ag2 Ag 0.000 0.500 0.646
Ag3 Ag 0.500 0.000 0.354
Ag4 Ag 0.500 0.500 0.000
```

Results
**Energy**: -2.868 eV/atom
**ΔH_f (0 K)**: -22.1 kJ per mole of atoms
**Space-group type**: P-4m2
**N(E_F)**: 7.30 states/eV/f.u.

> What is the formula in the third record?

PrMg2ZnAg2

> The highest energy belongs to which entry?

PrMg2Zn2Ag

> Among the records above, which one has the highest energy?

PrMg2Zn2Ag